# 1
Material: Dy6Ho2Er3Zr
Method: DFT, PBE
State: optimized geometry

For the density of states at the Fermi level, the calculation gives 14.900 states/eV/cell. For the calculated density, the calculation gives 8.70 g cm⁻³. The formation energy is 0.043 eV/atom.

POSCAR file:
```
Dy6Ho2Er3Zr
1.0
3.030 -5.239 0.000
3.030 5.239 0.000
-2.000 0.000 11.402
Dy Ho Er Zr
6 2 3 1
direct
0.082 0.409 0.746
0.245 0.245 0.255
0.409 0.082 0.746
0.591 0.918 0.254
0.755 0.755 0.745
0.918 0.591 0.254
0.333 0.667 0.500
0.667 0.333 0.500
0.167 0.833 0.000
0.500 0.500 0.000
0.833 0.167 0.000
0.000 0.000 0.500
```

# 2
Material: Dy2HoEr5Zr
Method: DFT, PBE
State: optimized geometry

For the density of states at the Fermi level, the calculation gives 27.854 states/eV/cell. For the calculated density, the calculation gives 8.58 g cm⁻³. The formation energy is 0.177 eV/atom.

POSCAR file:
```
Dy2HoEr5Zr
1.0
2.734 -10.130 0.000
2.734 10.130 0.000
0.000 0.000 9.908
Dy Ho Er Zr
4 2 10 2
direct
0.110 0.890 0.500
0.121 0.879 0.921
0.879 0.121 0.421
0.890 0.110 0.000
0.403 0.597 0.633
0.597 0.403 0.133
0.016 0.984 0.202
0.265 0.735 0.525
0.301 0.699 0.889
0.365 0.635 0.212
0.482 0.518 0.927
0.518 0.482 0.427
0.635 0.365 0.712
0.699 0.301 0.389
0.735 0.265 0.025
0.984 0.016 0.702
0.189 0.811 0.210
0.811 0.189 0.710
```

# 3
Material: Dy2Ho3Er6Zr
Method: DFT, PBE
State: optimized geometry

For the density of states at the Fermi level, the calculation gives 15.097 states/eV/cell. For the calculated density, the calculation gives 8.86 g cm⁻³. The formation energy is 0.042 eV/atom.

POSCAR file:
```
Dy2Ho3Er6Zr
1.0
3.022 -5.224 0.000
3.022 5.224 0.000
-2.000 0.000 11.368
Dy Ho Er Zr
2 3 6 1
direct
0.167 0.833 0.000
0.833 0.167 0.000
0.000 0.000 0.500
0.333 0.667 0.500
0.667 0.333 0.500
0.091 0.418 0.755
0.255 0.255 0.245
0.418 0.091 0.755
0.582 0.909 0.245
0.745 0.745 0.755
0.909 0.582 0.245
0.500 0.500 0.000
```

# 4
Material: Dy2ErI
Method: DFT, PBE
State: optimized geometry

The calculation puts the energy relative to the elements, uncorrected at -0.278 eV/atom. The excess energy over the best structure of this formula in the dataset comes out at 0.0638 eV/atom. For the density of states at the Fermi level, the calculation gives 4.503 states/eV/cell. For the calculated density, the calculation gives 8.29 g cm⁻³.

POSCAR file:
```
Dy2ErI
1.0
3.622 0.000 0.000
0.000 3.622 0.000
0.000 0.000 9.448
Dy Er I
2 1 1
direct
0.000 0.000 0.246
0.000 0.000 0.754
0.500 0.500 0.500
0.500 0.500 0.000
```